1.
A plane-wave DFT calculation with PBE was carried out for a geometry-optimized ScAlCuW2 structure.

Cell: 4.6573 4.6573 4.3453 Å, 90.00 90.00 90.00°
Last column: nearest neighbours and their distance in Å.
Space group P4/mmm (No. 123)
Unique sites:
1 Sc 0.0000 0.0000 0.0000 (multiplicity 1)  8 W 3.18, 4 Cu 3.29
2 Al 0.5000 0.5000 0.5000 (multiplicity 1)  2 Cu 2.17, 4 W 2.33
3 Cu 0.5000 0.5000 0.0000 (multiplicity 1)  2 Al 2.17
4 W 0.0000 0.5000 0.5000 (multiplicity 2)  2 Al 2.33

Calculated formation energy (eV/atom): 1.163
Electronic total energy (eV/atom): -6.8527
DOS at the Fermi energy (states/eV per atom): 1.09
ΔE to the lowest computed polymorph (eV per atom): 0.000

---

2.
A plane-wave DFT calculation with PBE was carried out for a geometry-optimized FeSeBr2 structure.

Cell: 6.7362 6.7362 5.0173 Å, 90.00 90.00 90.00°
Last column: nearest neighbours and their distance in Å.
Space group I-4m2 (No. 119)
Unique sites:
1 Fe 0.0000 0.0000 0.0000 (multiplicity 2)  2 Br 2.51
2 Se 0.0000 0.5000 0.2500 (multiplicity 2)  2 Br 2.51
3 Br 0.0000 0.0000 0.5000 (multiplicity 2)  2 Fe 2.51
4 Br 0.0000 0.5000 0.7500 (multiplicity 2)  2 Se 2.51

Electronic total energy (eV/atom): -3.2506
Formation energy without anion corrections (eV/atom): 0.5726
DOS at the Fermi energy (states/eV per atom): 1.77
ΔE to the lowest computed polymorph (eV per atom): 0.770

---

3.
A plane-wave DFT calculation with PBE was carried out for a geometry-optimized Tb3HfRh4 structure.

Cell: 3.3495 3.3495 14.0188 Å, 90.00 90.00 90.00°
Last column: nearest neighbours and their distance in Å.
Space group P4/mmm (No. 123)
Unique sites:
1 Tb 0.0000 0.0000 0.0000 (multiplicity 1)  8 Rh 2.98
2 Tb 0.0000 0.0000 0.2546 (multiplicity 2)  8 Rh 2.95-3.05
3 Hf 0.0000 0.0000 0.5000 (multiplicity 1)  8 Rh 2.81
4 Rh 0.5000 0.5000 0.1288 (multiplicity 2)  8 Tb 2.95-2.98
5 Rh 0.5000 0.5000 0.3917 (multiplicity 2)  4 Hf 2.81, 1 Rh 3.04, 4 Tb 3.05

Calculated formation energy (eV/atom): -0.859
Electronic total energy (eV/atom): -7.5148
DOS at the Fermi energy (states/eV per atom): 0.56

---

4.
A plane-wave DFT calculation with PBE was carried out for a geometry-optimized Rb4SmU3Se8 structure.

Cell: 8.5414 8.5414 24.1652 Å, 90.00 90.00 120.00°
Last column: nearest neighbours and their distance in Å.
Space group R-3m (No. 166, hexagonal axes)
Unique sites:
1 Rb 0.0000 0.0000 0.0000 (multiplicity 3)  6 Se 3.44
2 Rb 0.0000 0.5000 0.0000 (multiplicity 9)  6 Se 3.46-3.47
3 Sm 0.0000 0.0000 0.5000 (multiplicity 3)  6 Se 2.96
4 U 0.0000 0.5000 0.5000 (multiplicity 9)  6 Se 2.93
5 Se 0.0000 0.0000 0.2325 (multiplicity 6)  3 U 2.93
6 Se 0.0029 0.5015 0.7669 (multiplicity 18)  2 U 2.93, 1 Sm 2.96

Electronic total energy (eV/atom): -5.7278
Formation energy without anion corrections (eV/atom): -1.3321
DOS at the Fermi energy (states/eV per atom): 1.15

---

5.
A plane-wave DFT calculation with PBE was carried out for a geometry-optimized Sc2MoW structure.

Cell: 2.9765 2.9765 29.0023 Å, 90.00 90.00 120.00°
Last column: nearest neighbours and their distance in Å.
Space group R-3m (No. 166, hexagonal axes)
Unique sites:
1 Sc 0.0000 0.0000 0.2501 (multiplicity 6)  3 Mo 2.96, 3 W 2.97, 6 Sc 2.98
2 Mo 0.0000 0.0000 0.0000 (multiplicity 3)  6 Sc 2.96, 6 Mo 2.98
3 W 0.0000 0.0000 0.5000 (multiplicity 3)  6 Sc 2.97, 6 W 2.98

Calculated formation energy (eV/atom): 0.398
Electronic total energy (eV/atom): -8.7134
DOS at the Fermi energy (states/eV per atom): 1.36
ΔE to the lowest computed polymorph (eV per atom): 0.369

---

6.
A plane-wave DFT calculation with PBE was carried out for a geometry-optimized Mn2CoCl structure.

Cell: 5.6739 5.6739 5.6739 Å, 90.00 90.00 90.00°
Last column: nearest neighbours and their distance in Å.
Space group Fm-3m (No. 225)
Unique sites:
1 Mn 0.2500 0.2500 0.2500 (multiplicity 8)  4 Co 2.46, 4 Cl 2.46
2 Co 0.0000 0.0000 0.0000 (multiplicity 4)  8 Mn 2.46
3 Cl 0.0000 0.0000 0.5000 (multiplicity 4)  8 Mn 2.46

Electronic total energy (eV/atom): -5.9501
Formation energy without anion corrections (eV/atom): 0.8728
DOS at the Fermi energy (states/eV per atom): 0.74
ΔE to the lowest computed polymorph (eV per atom): 0.854

---

7.
A plane-wave DFT calculation with PBE was carried out for a geometry-optimized Ho4Tl5In structure.

Cell: 17.4004 4.9255 6.5394 Å, 90.00 105.89 90.00°
Last column: nearest neighbours and their distance in Å.
Space group C2/m (No. 12)
Unique sites:
1 Ho 0.0866 0.0000 0.3345 (multiplicity 4)  8 Tl 3.22-3.56, 2 In 3.36
2 Ho 0.1988 0.5000 0.1192 (multiplicity 4)  7 Tl 3.20-3.35, 1 In 3.33
3 Tl 0.0000 0.5000 0.5000 (multiplicity 2)  4 Ho 3.22, 2 In 3.27, 6 Tl 3.43-3.50
4 Tl 0.1059 0.0000 0.8443 (multiplicity 4)  6 Ho 3.21-3.34, 2 In 3.39, 4 Tl 3.50-3.57
5 Tl 0.2045 0.5000 0.6118 (multiplicity 4)  7 Ho 3.20-3.56, 5 Tl 3.43-3.57
6 In 0.0000 0.5000 0.0000 (multiplicity 2)  6 Tl 3.27-3.39, 6 Ho 3.33-3.36

Calculated formation energy (eV/atom): -0.294
Electronic total energy (eV/atom): -3.5821
DOS at the Fermi energy (states/eV per atom): 0.71
ΔE to the lowest computed polymorph (eV per atom): 0.000

---

8.
A plane-wave DFT calculation with PBE was carried out for a geometry-optimized Dy3Ho3Mg structure.

Cell: 6.1171 6.1171 41.5504 Å, 90.00 90.00 120.00°
Last column: nearest neighbours and their distance in Å.
Space group R-3 (No. 148, hexagonal axes)
Unique sites:
1 Dy 0.0000 0.3361 0.0645 (multiplicity 18)  2 Mg 3.36, 3 Ho 3.46-3.47, 6 Dy 3.52-3.56
2 Ho 0.0003 0.3328 0.8679 (multiplicity 18)  3 Dy 3.46-3.47, 9 Ho 3.52-3.54
3 Mg 0.0000 0.0000 0.3333 (multiplicity 6)  6 Dy 3.36, 3 Mg 3.53

Calculated formation energy (eV/atom): 0.101
Electronic total energy (eV/atom): -4.0612
DOS at the Fermi energy (states/eV per atom): 1.45
ΔE to the lowest computed polymorph (eV per atom): 0.085